# Na2SrRh PBE optimized geometry
# * V: 442 Å³ per cell
# * ρ: 3.56 g cm⁻³
# * E above lowest polymorph: 0.00 eV per formula unit
# * DFT formation energy: 22 kJ/mol of atoms
data_Na2SrRh
_chemical_formula_sum 'Na8 Sr4 Rh4'
_symmetry_space_group_name_H-M 'I -4 2 d'
_symmetry_Int_Tables_number 122
_symmetry_space_group_name_Hall 'I -4 2bw'
_cell_length_a 4.341
_cell_length_b 4.341
_cell_length_c 23.428
_cell_angle_alpha 90.00
_cell_angle_beta 90.00
_cell_angle_gamma 90.00
loop_
_atom_site_label
_atom_site_type_symbol
_atom_site_fract_x
_atom_site_fract_y
_atom_site_fract_z
Na1 Na 0.210 0.250 0.125
Sr1 Sr 0.000 0.000 0.500
Rh1 Rh 0.000 0.000 0.000

=====

# NbRe3Br PBE optimized geometry
# * V: 116 Å³ per cell
# * ρ: 10.50 g cm⁻³
# * E above lowest polymorph: 3.03 eV per formula unit
data_NbRe3Br
_chemical_formula_sum 'Nb1 Re3 Br1'
_symmetry_space_group_name_H-M 'P m -3 m'
_symmetry_Int_Tables_number 221
_symmetry_space_group_name_Hall '-P 4 2 3'
_cell_length_a 4.873
_cell_length_b 4.873
_cell_length_c 4.873
_cell_angle_alpha 90.00
_cell_angle_beta 90.00
_cell_angle_gamma 90.00
loop_
_atom_site_label
_atom_site_type_symbol
_atom_site_fract_x
_atom_site_fract_y
_atom_site_fract_z
Nb1 Nb 0.000 0.000 0.000
Re1 Re 0.000 0.000 0.500
Br1 Br 0.500 0.500 0.500

=====

# SiPRu2 PBE optimized geometry
# * V: 112 Å³ per cell
# * ρ: 7.77 g cm⁻³
# * E above lowest polymorph: 1.71 eV per formula unit
data_SiPRu2
_chemical_formula_sum 'Si2 P2 Ru4'
_symmetry_space_group_name_H-M 'C m m m'
_symmetry_Int_Tables_number 65
_symmetry_space_group_name_Hall '-C 2 2'
_cell_length_a 2.890
_cell_length_b 5.059
_cell_length_c 7.635
_cell_angle_alpha 90.00
_cell_angle_beta 90.00
_cell_angle_gamma 90.00
loop_
_atom_site_label
_atom_site_type_symbol
_atom_site_fract_x
_atom_site_fract_y
_atom_site_fract_z
Si1 Si 0.000 0.000 0.000
P1 P 0.000 0.000 0.500
Ru1 Ru 0.000 0.500 0.256

=====

# CrCdCu PBE optimized geometry
# * V: 97 Å³ per cell
# * ρ: 7.83 g cm⁻³
# * E above lowest polymorph: 0.00 eV per formula unit
# * DFT formation energy: 32 kJ/mol of atoms
data_CrCdCu
_chemical_formula_sum 'Cr2 Cd2 Cu2'
_symmetry_space_group_name_H-M 'I 4 m m'
_symmetry_Int_Tables_number 107
_symmetry_space_group_name_Hall 'I 4 -2'
_cell_length_a 3.248
_cell_length_b 3.248
_cell_length_c 9.168
_cell_angle_alpha 90.00
_cell_angle_beta 90.00
_cell_angle_gamma 90.00
loop_
_atom_site_label
_atom_site_type_symbol
_atom_site_fract_x
_atom_site_fract_y
_atom_site_fract_z
Cr1 Cr 0.000 0.000 0.000
Cd1 Cd 0.000 0.000 0.687
Cu1 Cu 0.000 0.000 0.359

=====

# Nd6HoHg2 PBE optimized geometry
# * V: 570 Å³ per cell
# * ρ: 8.33 g cm⁻³
# * DFT formation energy: -20 kJ/mol of atoms
data_Nd6HoHg2
_chemical_formula_sum 'Nd12 Ho2 Hg4'
_symmetry_space_group_name_H-M 'C 1 2/m 1'
_symmetry_Int_Tables_number 12
_cell_length_a 12.978
_cell_length_b 3.793
_cell_length_c 12.241
_cell_angle_alpha 90.00
_cell_angle_beta 108.79
_cell_angle_gamma 90.00
loop_
_symmetry_equiv_pos_as_xyz
'x,y,z'
'-x,-y,-z'
'-x,y,-z'
'x,-y,z'
'x+1/2,y+1/2,z'
'-x+1/2,-y+1/2,-z'
'-x+1/2,y+1/2,-z'
'x+1/2,-y+1/2,z'
loop_
_atom_site_label
_atom_site_type_symbol
_atom_site_fract_x
_atom_site_fract_y
_atom_site_fract_z
Nd1 Nd 0.023 0.000 0.336
Nd2 Nd 0.186 0.500 0.876
Nd3 Nd 0.191 0.500 0.591
Ho1 Ho 0.000 0.000 0.000
Hg1 Hg 0.137 0.500 0.192

=====

# Si2AuSe PBE optimized geometry
# * V: 222 Å³ per cell
# * ρ: 7.46 g cm⁻³
# * final energy: -51.70 eV per cell
data_Si2AuSe
_chemical_formula_sum 'Si6 Au3 Se3'
_symmetry_space_group_name_H-M 'R -3 m'
_symmetry_Int_Tables_number 166
_symmetry_space_group_name_Hall '-R 3 2"'
_cell_length_a 3.6210
_cell_length_b 3.6210
_cell_length_c 19.5278
_cell_angle_alpha 90.00
_cell_angle_beta 90.00
_cell_angle_gamma 120.00
loop_
_atom_site_label
_atom_site_type_symbol
_atom_site_fract_x
_atom_site_fract_y
_atom_site_fract_z
Si1 Si 0.0000 0.0000 0.2470
Au1 Au 0.0000 0.0000 0.5000
Se1 Se 0.0000 0.0000 0.0000

=====

# NaAgBiPd PBE optimized geometry
# * V: 333 Å³ per cell
# * ρ: 8.89 g cm⁻³
# * E above lowest polymorph: 0.00 eV per formula unit
# * DFT formation energy: -16 kJ/mol of atoms
data_NaAgBiPd
_chemical_formula_sum 'Na4 Ag4 Bi4 Pd4'
_symmetry_space_group_name_H-M 'F -4 3 m'
_symmetry_Int_Tables_number 216
_symmetry_space_group_name_Hall 'F -4 2 3'
_cell_length_a 6.933
_cell_length_b 6.933
_cell_length_c 6.933
_cell_angle_alpha 90.00
_cell_angle_beta 90.00
_cell_angle_gamma 90.00
loop_
_atom_site_label
_atom_site_type_symbol
_atom_site_fract_x
_atom_site_fract_y
_atom_site_fract_z
Na1 Na 0.000 0.000 0.000
Ag1 Ag 0.250 0.250 0.250
Bi1 Bi 0.000 0.000 0.500
Pd1 Pd 0.250 0.250 0.750

=====

# Sr3Zn4Cd4 PBE optimized geometry
# * V: 290 Å³ per cell
# * ρ: 5.58 g cm⁻³
# * DFT formation energy: -25 kJ/mol of atoms
data_Sr3Zn4Cd4
_chemical_formula_sum 'Sr3 Zn4 Cd4'
_symmetry_space_group_name_H-M 'P -1'
_symmetry_Int_Tables_number 2
_cell_length_a 4.313
_cell_length_b 4.668
_cell_length_c 14.730
_cell_angle_alpha 99.00
_cell_angle_beta 98.27
_cell_angle_gamma 90.13
loop_
_symmetry_equiv_pos_as_xyz
'x,y,z'
'-x,-y,-z'
loop_
_atom_site_label
_atom_site_type_symbol
_atom_site_fract_x
_atom_site_fract_y
_atom_site_fract_z
Sr1 Sr 0.000 0.000 0.000
Sr2 Sr 0.149 0.649 0.296
Zn1 Zn 0.308 0.808 0.618
Zn2 Zn 0.454 0.453 0.909
Cd1 Cd 0.253 0.252 0.504
Cd2 Cd 0.403 0.903 0.808

=====

# TbSm7Mg4 PBE optimized geometry
# * V: 744 Å³ per cell
# * ρ: 5.84 g cm⁻³
# * DFT formation energy: 14 kJ/mol of atoms
data_TbSm7Mg4
_chemical_formula_sum 'Tb2 Sm14 Mg8'
_symmetry_space_group_name_H-M 'C 1 2/m 1'
_symmetry_Int_Tables_number 12
_cell_length_a 15.314
_cell_length_b 5.814
_cell_length_c 9.782
_cell_angle_alpha 90.00
_cell_angle_beta 121.37
_cell_angle_gamma 90.00
loop_
_symmetry_equiv_pos_as_xyz
'x,y,z'
'-x,-y,-z'
'-x,y,-z'
'x,-y,z'
'x+1/2,y+1/2,z'
'-x+1/2,-y+1/2,-z'
'-x+1/2,y+1/2,-z'
'x+1/2,-y+1/2,z'
loop_
_atom_site_label
_atom_site_type_symbol
_atom_site_fract_x
_atom_site_fract_y
_atom_site_fract_z
Tb1 Tb 0.000 0.000 0.000
Sm1 Sm 0.000 0.500 0.000
Sm2 Sm 0.081 0.000 0.426
Sm3 Sm 0.198 0.000 0.877
Sm4 Sm 0.248 0.500 0.712
Mg1 Mg 0.040 0.500 0.695
Mg2 Mg 0.175 0.500 0.345

=====

# Sc3Te2C PBE optimized geometry
# * V: 253 Å³ per cell
# * ρ: 5.28 g cm⁻³
# * E above lowest polymorph: 0.00 eV per formula unit
data_Sc3Te2C
_chemical_formula_sum 'Sc6 Te4 C2'
_symmetry_space_group_name_H-M 'I m m m'
_symmetry_Int_Tables_number 71
_symmetry_space_group_name_Hall '-I 2 2'
_cell_length_a 3.645
_cell_length_b 5.480
_cell_length_c 12.675
_cell_angle_alpha 90.00
_cell_angle_beta 90.00
_cell_angle_gamma 90.00
loop_
_atom_site_label
_atom_site_type_symbol
_atom_site_fract_x
_atom_site_fract_y
_atom_site_fract_z
Sc1 Sc 0.000 0.000 0.000
Sc2 Sc 0.000 0.000 0.386
Te1 Te 0.000 0.500 0.321
C1 C 0.000 0.500 0.000

=====

# PaPSe6 PBE optimized geometry
# * V: 421 Å³ per cell
# * ρ: 5.81 g cm⁻³
# * final energy: -75.95 eV per cell
data_PaPSe6
_chemical_formula_sum 'Pa2 P2 Se12'
_symmetry_space_group_name_H-M 'C 1 2/m 1'
_symmetry_Int_Tables_number 12
_cell_length_a 6.603
_cell_length_b 10.920
_cell_length_c 6.404
_cell_angle_alpha 90.00
_cell_angle_beta 114.31
_cell_angle_gamma 90.00
loop_
_symmetry_equiv_pos_as_xyz
'x,y,z'
'-x,-y,-z'
'-x,y,-z'
'x,-y,z'
'x+1/2,y+1/2,z'
'-x+1/2,-y+1/2,-z'
'-x+1/2,y+1/2,-z'
'x+1/2,-y+1/2,z'
loop_
_atom_site_label
_atom_site_type_symbol
_atom_site_fract_x
_atom_site_fract_y
_atom_site_fract_z
Pa1 Pa 0.000 0.000 0.000
P1 P 0.000 0.500 0.500
Se1 Se 0.164 0.332 0.791
Se2 Se 0.178 0.000 0.655

=====

# KBa3Sc PBE optimized geometry
# * V: 283 Å³ per cell
# * ρ: 2.91 g cm⁻³
# * E above lowest polymorph: 2.50 eV per formula unit
# * DFT formation energy: 90 kJ/mol of atoms
data_KBa3Sc
_chemical_formula_sum 'K1 Ba3 Sc1'
_symmetry_space_group_name_H-M 'P m -3 m'
_symmetry_Int_Tables_number 221
_symmetry_space_group_name_Hall '-P 4 2 3'
_cell_length_a 6.564
_cell_length_b 6.564
_cell_length_c 6.564
_cell_angle_alpha 90.00
_cell_angle_beta 90.00
_cell_angle_gamma 90.00
loop_
_atom_site_label
_atom_site_type_symbol
_atom_site_fract_x
_atom_site_fract_y
_atom_site_fract_z
K1 K 0.000 0.000 0.000
Ba1 Ba 0.000 0.000 0.500
Sc1 Sc 0.500 0.500 0.500

=====

Copy entry 12 word for word.
# KBa3Sc PBE optimized geometry
# * V: 283 Å³ per cell
# * ρ: 2.91 g cm⁻³
# * E above lowest polymorph: 2.50 eV per formula unit
# * DFT formation energy: 90 kJ/mol of atoms
data_KBa3Sc
_chemical_formula_sum 'K1 Ba3 Sc1'
_symmetry_space_group_name_H-M 'P m -3 m'
_symmetry_Int_Tables_number 221
_symmetry_space_group_name_Hall '-P 4 2 3'
_cell_length_a 6.564
_cell_length_b 6.564
_cell_length_c 6.564
_cell_angle_alpha 90.00
_cell_angle_beta 90.00
_cell_angle_gamma 90.00
loop_
_atom_site_label
_atom_site_type_symbol
_atom_site_fract_x
_atom_site_fract_y
_atom_site_fract_z
K1 K 0.000 0.000 0.000
Ba1 Ba 0.000 0.000 0.500
Sc1 Sc 0.500 0.500 0.500

=====

What did the eighth record say?
# Sr3Zn4Cd4 PBE optimized geometry
# * V: 290 Å³ per cell
# * ρ: 5.58 g cm⁻³
# * DFT formation energy: -25 kJ/mol of atoms
data_Sr3Zn4Cd4
_chemical_formula_sum 'Sr3 Zn4 Cd4'
_symmetry_space_group_name_H-M 'P -1'
_symmetry_Int_Tables_number 2
_cell_length_a 4.313
_cell_length_b 4.668
_cell_length_c 14.730
_cell_angle_alpha 99.00
_cell_angle_beta 98.27
_cell_angle_gamma 90.13
loop_
_symmetry_equiv_pos_as_xyz
'x,y,z'
'-x,-y,-z'
loop_
_atom_site_label
_atom_site_type_symbol
_atom_site_fract_x
_atom_site_fract_y
_atom_site_fract_z
Sr1 Sr 0.000 0.000 0.000
Sr2 Sr 0.149 0.649 0.296
Zn1 Zn 0.308 0.808 0.618
Zn2 Zn 0.454 0.453 0.909
Cd1 Cd 0.253 0.252 0.504
Cd2 Cd 0.403 0.903 0.808

=====

Please write out number 11 again, unchanged.
# PaPSe6 PBE optimized geometry
# * V: 421 Å³ per cell
# * ρ: 5.81 g cm⁻³
# * final energy: -75.95 eV per cell
data_PaPSe6
_chemical_formula_sum 'Pa2 P2 Se12'
_symmetry_space_group_name_H-M 'C 1 2/m 1'
_symmetry_Int_Tables_number 12
_cell_length_a 6.603
_cell_length_b 10.920
_cell_length_c 6.404
_cell_angle_alpha 90.00
_cell_angle_beta 114.31
_cell_angle_gamma 90.00
loop_
_symmetry_equiv_pos_as_xyz
'x,y,z'
'-x,-y,-z'
'-x,y,-z'
'x,-y,z'
'x+1/2,y+1/2,z'
'-x+1/2,-y+1/2,-z'
'-x+1/2,y+1/2,-z'
'x+1/2,-y+1/2,z'
loop_
_atom_site_label
_atom_site_type_symbol
_atom_site_fract_x
_atom_site_fract_y
_atom_site_fract_z
Pa1 Pa 0.000 0.000 0.000
P1 P 0.000 0.500 0.500
Se1 Se 0.164 0.332 0.791
Se2 Se 0.178 0.000 0.655